Below is a relaxed structure of V3Se2S4, with properties calculated at the GGA-PBE level.

Unit cell a=3.230 b=3.230 c=20.261 alpha=90.00 beta=90.00 gamma=120.00
Each line ends with the local moment (μB).
Sites, in units of the cell vectors:
V: 0.000 0.000 0.978  0.83
V: 0.000 0.000 0.332  0.85
V: 0.667 0.333 0.649  0.84
Se: 0.667 0.333 0.058  -0.04
Se: 0.667 0.333 0.897  -0.04
S: 0.000 0.000 0.577  -0.05
S: 0.667 0.333 0.405  -0.05
S: 0.667 0.333 0.259  -0.05
S: 0.000 0.000 0.722  -0.05

Formation energy without anion corrections: -0.805 eV/atom
Fermi-level density of states: 3.1 states/eV/cell
Crystal system: trigonal